Ac2PdPt | PBE | optimized geometry

Crystal system: tetragonal
Calculated formation energy: -864 meV per atom
Volume: 109.1 Å³/cell

Cell: 3.809 5.353 5.353 Å, 90.00 90.00 90.00°
Fractional coordinates of all 4 atoms:
1 Pd 0.500 0.500 0.500
2 Ac 0.000 0.000 0.500
3 Ac 0.000 0.500 0.000
4 Pt 0.500 0.000 0.000